Record 1
DFT (PBE-GGA) results for crystalline Pr3Al4Zn4 at its relaxed geometry.

Lattice parameters (Å, degrees): 4.0648 4.4074 13.6776 80.73 81.47 90.05
Closest atoms and distances in Å follow each position.
Sites, in units of the cell vectors:
Al (0.2519, 0.2514, 0.4961)  4 Zn 2.59-2.67
Al (0.5945, 0.0967, 0.8078)  3 Zn 2.54-2.55
Al (0.4055, 0.9033, 0.1922)  3 Zn 2.54-2.55
Al (0.7481, 0.7486, 0.5039)  4 Zn 2.59-2.67
Pr (0.8512, 0.3513, 0.2971)  6 Zn 3.21-3.36, 8 Al 3.30-3.53
Pr (0.0000, 0.0000, 0.0000)  8 Zn 3.26-3.27, 4 Al 3.27-3.28
Pr (0.1488, 0.6487, 0.7029)  6 Zn 3.21-3.36, 8 Al 3.30-3.53
Zn (0.4522, 0.4513, 0.0968)  2 Al 2.54-2.55, 1 Zn 2.58
Zn (0.6914, 0.1919, 0.6169)  5 Al 2.55-2.67
Zn (0.3086, 0.8081, 0.3831)  5 Al 2.55-2.67
Zn (0.5478, 0.5487, 0.9032)  2 Al 2.54-2.55, 1 Zn 2.58

Energy above the lowest structure with this stoichiometry ... 0.000 eV per atom
Spin magnetization ... 0.00 Bohr magnetons per cell
Calculated volume ... 239 Å³ per cell



Record 2
DFT (PBE-GGA) results for crystalline Pr6AlZn3 at its relaxed geometry.

Lattice parameters (Å, degrees): 5.2262 9.4561 11.7063 106.30 90.00 90.00
Closest atoms and distances in Å follow each position.
Sites, in units of the cell vectors:
Pr (0.2500, 0.1153, 0.8784)  3 Zn 3.04-3.18, 1 Al 3.12, 3 Pr 3.22-3.40
Pr (0.7500, 0.1522, 0.6743)  3 Al 3.17-3.20, 3 Zn 3.21-3.39
Pr (0.7500, 0.5208, 0.9007)  3 Zn 3.09-3.18
Pr (0.2500, 0.6508, 0.6790)  5 Zn 3.10-3.37, 1 Al 3.17
Pr (0.2500, 0.8478, 0.3257)  3 Al 3.17-3.20, 3 Zn 3.21-3.39
Pr (0.7500, 0.3492, 0.3210)  5 Zn 3.10-3.37, 1 Al 3.17
Pr (0.2500, 0.4792, 0.0993)  3 Zn 3.09-3.18
Pr (0.7500, 0.8769, 0.8450)  5 Pr 3.22-3.58, 3 Zn 3.29-3.43
Pr (0.7500, 0.7369, 0.4946)  4 Zn 3.09-3.30, 2 Al 3.34
Pr (0.2500, 0.1231, 0.1550)  5 Pr 3.22-3.58, 3 Zn 3.29-3.43
Pr (0.2500, 0.2631, 0.5054)  4 Zn 3.09-3.30, 2 Al 3.34
Pr (0.7500, 0.8847, 0.1216)  3 Zn 3.04-3.18, 1 Al 3.12, 3 Pr 3.22-3.40
Al (0.7500, 0.0492, 0.3925)  8 Pr 3.12-3.48
Al (0.2500, 0.9508, 0.6075)  8 Pr 3.12-3.48
Zn (0.2500, 0.7703, 0.9695)  9 Pr 3.18-3.50
Zn (0.7500, 0.6197, 0.2205)  7 Pr 3.04-3.39
Zn (0.7500, 0.4670, 0.6204)  8 Pr 3.11-3.37, 2 Zn 3.44
Zn (0.2500, 0.5330, 0.3796)  8 Pr 3.11-3.37, 2 Zn 3.44
Zn (0.2500, 0.3803, 0.7795)  7 Pr 3.04-3.39
Zn (0.7500, 0.2297, 0.0305)  9 Pr 3.18-3.50

Spin magnetization ... 0.00 Bohr magnetons per cell
Calculated volume ... 555 Å³ per cell



Looking at DFT total energy for the records above, in order, we have -3.534, -3.838 eV/atom.
Looking at ΔE_f for the records above, in order, we have -0.406, -0.213 eV per atom.